# 1
Here is a relaxed structure of CdSbPO from OQMD. Energies are from PBE-GGA.

Cell and atoms, written as POSCAR:
```
CdSbPO
1.0
4.022 0.000 0.000
0.000 4.022 0.000
0.000 0.000 8.894
Cd Sb P O
2 2 2 2
Cartesian
1.006 3.017 0.000
3.017 1.006 0.000
1.006 1.006 3.309
3.017 3.017 5.584
1.006 1.006 7.117
3.017 3.017 1.777
1.006 3.017 4.447
3.017 1.006 4.447
```

* ΔE to the lowest computed polymorph: 59.8 kJ/mol of formula units

---

# 2
Here is a relaxed structure of GdMgZn from OQMD. Energies are from PBE-GGA.

Cell and atoms, written as POSCAR:
```
GdMgZn
1.0
3.549 0.000 0.000
-1.775 3.074 0.000
0.000 0.000 13.573
Gd Mg Zn
2 2 2
Cartesian
0.000 0.000 0.000
0.000 2.049 10.545
1.775 1.025 2.779
1.775 1.025 6.504
0.000 0.000 4.659
0.000 0.000 8.346
```

---

# 3
Here is a relaxed structure of YCdCuGe from OQMD. Energies are from PBE-GGA.

Cell and atoms, written as POSCAR:
```
YCdCuGe
1.0
0.000 3.424 3.424
3.424 0.000 3.424
3.424 3.424 0.000
Y Cd Cu Ge
1 1 1 1
Cartesian
0.000 0.000 0.000
5.135 5.135 5.135
3.424 3.424 3.424
1.712 1.712 1.712
```

* ΔE to the lowest computed polymorph: 0.0 kJ/mol of formula units

---

Number 1: electronic total energy -33.29 eV for the cell shown. Number 2: electronic total energy -14.71 eV for the cell shown. Number 3: electronic total energy -16.40 eV for the cell shown.